Entry 1:
Crystalline NbFe2Ni8 at its relaxed geometry. Source: Alexandria via LeMat-Bulk, functional PBE.

Geometry as POSCAR:
```
NbFe2Ni8
1.0
6.498 -1.795 0.000
6.498 1.795 0.000
-1.548 0.000 5.494
Nb Fe Ni
1 2 8
Cartesian
0.000 0.000 0.000
3.021 0.000 1.964
8.427 0.000 3.530
0.523 0.000 2.520
0.989 0.000 5.011
3.414 0.000 4.449
5.461 0.000 1.532
5.986 0.000 3.962
8.033 0.000 1.045
10.458 0.000 0.483
10.924 0.000 2.974
```

SG: No. 12
energy above the most stable polymorph in this dataset: 0.0000 eV per atom
calculated formation energy: -0.108 eV per atom

---

Entry 2:
Crystalline BaYRu2 at its relaxed geometry. Source: Alexandria via LeMat-Bulk, functional PBE.

Geometry as POSCAR:
```
BaYRu2
1.0
-2.081 2.303 6.262
2.081 -2.303 6.262
2.081 2.303 -6.262
Ba Y Ru
1 1 2
Cartesian
0.000 0.000 0.000
0.000 2.303 3.041
2.081 0.000 3.581
0.000 0.000 4.644
```

SG: No. 44
calculated formation energy: 0.217 eV per atom

---

Entry 3:
Crystalline Li3YU3S8 at its relaxed geometry. Source: Alexandria via LeMat-Bulk, functional PBE.

Geometry as POSCAR:
```
Li3YU3S8
1.0
3.913 2.259 6.198
-3.913 2.259 6.198
0.000 -4.518 6.198
Li Y U S
3 1 3 8
Cartesian
-1.957 -1.130 6.198
-1.957 1.130 12.396
0.000 2.259 6.198
0.000 0.000 9.297
-3.913 0.000 9.297
-1.957 1.130 3.099
1.957 1.130 3.099
-1.954 -1.128 10.831
0.000 -2.257 7.764
-1.954 1.128 7.764
0.000 0.000 4.682
0.000 0.000 13.912
1.954 -1.128 10.831
0.000 2.257 10.831
1.954 1.128 7.764
```

SG: No. 166
formation energy without anion corrections: -142.79 kJ per mole of atoms

---

What did the third record say?
Crystalline Li3YU3S8 at its relaxed geometry. Source: Alexandria via LeMat-Bulk, functional PBE.

Geometry as POSCAR:
```
Li3YU3S8
1.0
3.913 2.259 6.198
-3.913 2.259 6.198
0.000 -4.518 6.198
Li Y U S
3 1 3 8
Cartesian
-1.957 -1.130 6.198
-1.957 1.130 12.396
0.000 2.259 6.198
0.000 0.000 9.297
-3.913 0.000 9.297
-1.957 1.130 3.099
1.957 1.130 3.099
-1.954 -1.128 10.831
0.000 -2.257 7.764
-1.954 1.128 7.764
0.000 0.000 4.682
0.000 0.000 13.912
1.954 -1.128 10.831
0.000 2.257 10.831
1.954 1.128 7.764
```

SG: No. 166
formation energy without anion corrections: -142.79 kJ per mole of atoms